V4Co2W | GGA-PBE | relaxed

Computed properties:
- Energy of formation from the pure elements: 1220 meV per atom
- Theoretical density: 7.00 g/cm³

```
data_V4Co2W
_space_group_name_H-M_alt 'P 1'
_space_group_IT_number 1
_space_group_name_Hall 'P 1'
_cell_length_a 6.694
_cell_length_b 6.694
_cell_length_c 6.694
_cell_angle_alpha 140.60
_cell_angle_beta 140.60
_cell_angle_gamma 56.94
loop_
_atom_site_label
_atom_site_type_symbol
_atom_site_fract_x
_atom_site_fract_y
_atom_site_fract_z
V1 V 0.000 0.500 0.500
V2 V 0.210 0.210 0.000
V3 V 0.500 0.000 0.500
V4 V 0.790 0.790 0.000
Co1 Co 0.396 0.396 0.000
Co2 Co 0.604 0.604 0.000
W1 W 0.000 0.000 0.000
```



V4CoW | GGA-PBE | relaxed

Computed properties:
- Energy of formation from the pure elements: 601 meV per atom
- Theoretical density: 7.86 g/cm³

```
data_V4CoW
_space_group_name_H-M_alt 'P 1'
_space_group_IT_number 1
_space_group_name_Hall 'P 1'
_cell_length_a 4.102
_cell_length_b 4.102
_cell_length_c 6.870
_cell_angle_alpha 107.34
_cell_angle_beta 107.34
_cell_angle_gamma 60.37
loop_
_atom_site_label
_atom_site_type_symbol
_atom_site_fract_x
_atom_site_fract_y
_atom_site_fract_z
V1 V 0.119 0.119 0.358
V2 V 0.367 0.367 0.099
V3 V 0.633 0.633 0.901
V4 V 0.881 0.881 0.642
Co1 Co 0.000 0.000 0.000
W1 W 0.500 0.500 0.500
```



VCoW3 | GGA-PBE | relaxed

Computed properties:
- Energy of formation from the pure elements: 1854 meV per atom
- Theoretical density: 12.23 g/cm³

```
data_VCoW3
_space_group_name_H-M_alt 'P 1'
_space_group_IT_number 1
_space_group_name_Hall 'P 1'
_cell_length_a 4.478
_cell_length_b 4.478
_cell_length_c 4.478
_cell_angle_alpha 90.00
_cell_angle_beta 90.00
_cell_angle_gamma 90.00
loop_
_atom_site_label
_atom_site_type_symbol
_atom_site_fract_x
_atom_site_fract_y
_atom_site_fract_z
V1 V 0.000 0.000 0.000
Co1 Co 0.500 0.500 0.500
W1 W 0.000 0.000 0.500
W2 W 0.000 0.500 0.000
W3 W 0.500 0.000 0.000
```



VCo2W | GGA-PBE | relaxed

Computed properties:
- Energy of formation from the pure elements: 187 meV per atom
- Theoretical density: 11.37 g/cm³

```
data_VCo2W
_space_group_name_H-M_alt 'P 1'
_space_group_IT_number 1
_space_group_name_Hall 'P 1'
_cell_length_a 8.487
_cell_length_b 8.487
_cell_length_c 8.487
_cell_angle_alpha 18.10
_cell_angle_beta 18.10
_cell_angle_gamma 18.10
loop_
_atom_site_label
_atom_site_type_symbol
_atom_site_fract_x
_atom_site_fract_y
_atom_site_fract_z
V1 V 0.000 0.000 0.000
Co1 Co 0.254 0.254 0.254
Co2 Co 0.746 0.746 0.746
W1 W 0.500 0.500 0.500
```



VCo2W | GGA-PBE | relaxed

Computed properties:
- Energy of formation from the pure elements: 106 meV per atom
- Theoretical density: 11.27 g/cm³

```
data_VCo2W
_space_group_name_H-M_alt 'P 1'
_space_group_IT_number 1
_space_group_name_Hall 'P 1'
_cell_length_a 4.189
_cell_length_b 4.189
_cell_length_c 4.189
_cell_angle_alpha 60.00
_cell_angle_beta 60.00
_cell_angle_gamma 60.00
loop_
_atom_site_label
_atom_site_type_symbol
_atom_site_fract_x
_atom_site_fract_y
_atom_site_fract_z
V1 V 0.000 0.000 0.000
Co1 Co 0.250 0.250 0.250
Co2 Co 0.750 0.750 0.750
W1 W 0.500 0.500 0.500
```



VCo2W | GGA-PBE | relaxed

Computed properties:
- Energy of formation from the pure elements: 461 meV per atom
- Theoretical density: 11.02 g/cm³

```
data_VCo2W
_space_group_name_H-M_alt 'P 1'
_space_group_IT_number 1
_space_group_name_Hall 'P 1'
_cell_length_a 5.230
_cell_length_b 5.230
_cell_length_c 5.230
_cell_angle_alpha 103.72
_cell_angle_beta 103.72
_cell_angle_gamma 121.71
loop_
_atom_site_label
_atom_site_type_symbol
_atom_site_fract_x
_atom_site_fract_y
_atom_site_fract_z
V1 V 0.000 0.000 0.000
V2 V 0.750 0.250 0.500
Co1 Co 0.110 0.625 0.985
Co2 Co 0.375 0.360 0.485
Co3 Co 0.640 0.125 0.015
Co4 Co 0.875 0.890 0.515
W1 W 0.250 0.750 0.500
W2 W 0.500 0.500 0.000
```



V2Co9W | GGA-PBE | relaxed

Computed properties:
- Energy of formation from the pure elements: 731 meV per atom
- Theoretical density: 7.04 g/cm³

```
data_V2Co9W
_space_group_name_H-M_alt 'P 1'
_space_group_IT_number 1
_space_group_name_Hall 'P 1'
_cell_length_a 10.822
_cell_length_b 10.822
_cell_length_c 10.822
_cell_angle_alpha 24.55
_cell_angle_beta 24.55
_cell_angle_gamma 24.55
loop_
_atom_site_label
_atom_site_type_symbol
_atom_site_fract_x
_atom_site_fract_y
_atom_site_fract_z
V1 V 0.091 0.091 0.091
V2 V 0.909 0.909 0.909
Co1 Co 0.031 0.543 0.543
Co2 Co 0.432 0.432 0.432
Co3 Co 0.457 0.457 0.969
Co4 Co 0.457 0.969 0.457
Co5 Co 0.500 0.500 0.500
Co6 Co 0.543 0.031 0.543
Co7 Co 0.543 0.543 0.031
Co8 Co 0.568 0.568 0.568
Co9 Co 0.969 0.457 0.457
W1 W 0.000 0.000 0.000
```



V2CoW | GGA-PBE | relaxed

Computed properties:
- Energy of formation from the pure elements: 501 meV per atom
- Theoretical density: 10.12 g/cm³

```
data_V2CoW
_space_group_name_H-M_alt 'P 1'
_space_group_IT_number 1
_space_group_name_Hall 'P 1'
_cell_length_a 5.372
_cell_length_b 5.372
_cell_length_c 5.372
_cell_angle_alpha 102.52
_cell_angle_beta 102.52
_cell_angle_gamma 124.49
loop_
_atom_site_label
_atom_site_type_symbol
_atom_site_fract_x
_atom_site_fract_y
_atom_site_fract_z
V1 V 0.099 0.125 0.474
V2 V 0.375 0.901 0.026
V3 V 0.651 0.625 0.526
V4 V 0.875 0.349 0.974
Co1 Co 0.000 0.000 0.000
Co2 Co 0.750 0.250 0.500
W1 W 0.250 0.750 0.500
W2 W 0.500 0.500 0.000
```



VCo6W | GGA-PBE | relaxed

Computed properties:
- Energy of formation from the pure elements: -108 meV per atom
- Theoretical density: 10.85 g/cm³

```
data_VCo6W
_space_group_name_H-M_alt 'P 1'
_space_group_IT_number 1
_space_group_name_Hall 'P 1'
_cell_length_a 6.163
_cell_length_b 6.163
_cell_length_c 10.057
_cell_angle_alpha 90.00
_cell_angle_beta 90.00
_cell_angle_gamma 109.45
loop_
_atom_site_label
_atom_site_type_symbol
_atom_site_fract_x
_atom_site_fract_y
_atom_site_fract_z
V1 V 0.000 0.000 0.247
V2 V 0.000 0.000 0.753
V3 V 0.252 0.748 0.000
V4 V 0.748 0.252 0.000
Co1 Co 0.000 0.000 0.000
Co2 Co 0.000 0.000 0.500
Co3 Co 0.122 0.373 0.123
Co4 Co 0.122 0.373 0.877
Co5 Co 0.123 0.371 0.373
Co6 Co 0.123 0.371 0.627
Co7 Co 0.248 0.752 0.247
Co8 Co 0.248 0.752 0.753
Co9 Co 0.371 0.123 0.373
Co10 Co 0.371 0.123 0.627
Co11 Co 0.373 0.122 0.123
Co12 Co 0.373 0.122 0.877
Co13 Co 0.500 0.500 0.000
Co14 Co 0.500 0.500 0.500
Co15 Co 0.627 0.878 0.123
Co16 Co 0.627 0.878 0.877
Co17 Co 0.629 0.877 0.373
Co18 Co 0.629 0.877 0.627
Co19 Co 0.752 0.248 0.247
Co20 Co 0.752 0.248 0.753
Co21 Co 0.877 0.629 0.373
Co22 Co 0.877 0.629 0.627
Co23 Co 0.878 0.627 0.123
Co24 Co 0.878 0.627 0.877
W1 W 0.251 0.749 0.500
W2 W 0.500 0.500 0.247
W3 W 0.500 0.500 0.753
W4 W 0.749 0.251 0.500
```



V2CoW | GGA-PBE | relaxed

Computed properties:
- Energy of formation from the pure elements: -51 meV per atom
- Theoretical density: 10.63 g/cm³

```
data_V2CoW
_space_group_name_H-M_alt 'P 1'
_space_group_IT_number 1
_space_group_name_Hall 'P 1'
_cell_length_a 4.207
_cell_length_b 4.207
_cell_length_c 3.042
_cell_angle_alpha 90.00
_cell_angle_beta 90.00
_cell_angle_gamma 90.00
loop_
_atom_site_label
_atom_site_type_symbol
_atom_site_fract_x
_atom_site_fract_y
_atom_site_fract_z
V1 V 0.000 0.500 0.000
V2 V 0.500 0.000 0.000
Co1 Co 0.000 0.000 0.500
W1 W 0.500 0.500 0.500
```